Entry 1:
The following is a PBE-GGA calculation of a relaxed Rb2VSe3 crystal, from Alexandria via LeMat-Bulk.

Results
Formation energy without anion corrections (eV per formula unit): -5.90
VASP energy (eV per atom): -4.5671

Cell and atoms, written as CIF:
```
data_Rb2VSe3
_chemical_formula_sum 'Rb16 V8 Se24'
_space_group_name_H-M_alt 'C 1 2/c 1'
_space_group_IT_number 15
_cell_length_a 7.314
_cell_length_b 14.177
_cell_length_c 16.554
_cell_angle_alpha 90.00
_cell_angle_beta 90.17
_cell_angle_gamma 90.00
loop_
_space_group_symop_operation_xyz
'x,y,z'
'-x,-y,-z'
'-x,y,-z+1/2'
'x,-y,z+1/2'
'x+1/2,y+1/2,z'
'-x+1/2,-y+1/2,-z'
'-x+1/2,y+1/2,-z+1/2'
'x+1/2,-y+1/2,z+1/2'
loop_
_atom_site_label
_atom_site_fract_x
_atom_site_fract_y
_atom_site_fract_z
Rb1 0.246 0.187 0.350
Rb2 0.250 0.108 0.930
V1 0.249 0.497 0.332
Se1 0.000 0.047 0.750
Se2 0.000 0.447 0.250
Se3 0.244 0.344 0.861
Se4 0.248 0.093 0.552
```

Entry 2:
The following is a PBE-GGA calculation of a relaxed Pm2PrDy5 crystal, from Alexandria via LeMat-Bulk.

Results
VASP energy (eV per atom): -4.6441
Relative energy among the computed polymorphs (eV per atom): 0.000
Formation energy from the elements (eV/atom): 0.02

Cell and atoms, written as CIF:
```
data_Pm2PrDy5
_chemical_formula_sum 'Pm4 Pr2 Dy10'
_space_group_name_H-M_alt 'P b a m'
_space_group_IT_number 55
_cell_length_a 7.185
_cell_length_b 14.377
_cell_length_c 5.070
_cell_angle_alpha 90.00
_cell_angle_beta 90.00
_cell_angle_gamma 90.00
loop_
_space_group_symop_operation_xyz
'x,y,z'
'-x,-y,-z'
'-x,-y,z'
'x,y,-z'
'x+1/2,-y+1/2,-z'
'-x+1/2,y+1/2,z'
'-x+1/2,y+1/2,-z'
'x+1/2,-y+1/2,z'
loop_
_atom_site_label
_atom_site_fract_x
_atom_site_fract_y
_atom_site_fract_z
Pm1 0.248 0.126 0.000
Pr1 0.000 0.500 0.500
Dy1 0.000 0.000 0.500
Dy2 0.002 0.751 0.500
Dy3 0.249 0.374 0.000
```

Entry 3:
The following is a PBE-GGA calculation of a relaxed NaSn3Au crystal, from Alexandria via LeMat-Bulk.

Results
VASP energy (eV per atom): -3.5077
Relative energy among the computed polymorphs (eV per atom): 0.000
Formation energy from the elements (eV/atom): -0.19

Cell and atoms, written as CIF:
```
data_NaSn3Au
_chemical_formula_sum 'Na2 Sn6 Au2'
_space_group_name_H-M_alt 'P m n 21'
_space_group_IT_number 31
_cell_length_a 6.661
_cell_length_b 6.296
_cell_length_c 6.435
_cell_angle_alpha 90.00
_cell_angle_beta 90.00
_cell_angle_gamma 90.00
loop_
_space_group_symop_operation_xyz
'x,y,z'
'-x+1/2,-y,z+1/2'
'-x,y,z'
'x+1/2,-y,z+1/2'
loop_
_atom_site_label
_atom_site_fract_x
_atom_site_fract_y
_atom_site_fract_z
Na1 0.000 0.233 0.000
Sn1 0.000 0.881 0.628
Sn2 0.250 0.273 0.504
Au1 0.000 0.578 0.321
```

Entry 4:
The following is a PBE-GGA calculation of a relaxed Ce4As8Pd3 crystal, from Alexandria via LeMat-Bulk.

Results
VASP energy (eV per atom): -6.0418
Formation energy from the elements (eV/atom): -0.94

Cell and atoms, written as CIF:
```
data_Ce4As8Pd3
_chemical_formula_sum 'Ce4 As8 Pd3'
_space_group_name_H-M_alt 'P -4 m 2'
_space_group_IT_number 115
_cell_length_a 4.053
_cell_length_b 4.053
_cell_length_c 19.315
_cell_angle_alpha 90.00
_cell_angle_beta 90.00
_cell_angle_gamma 90.00
loop_
_space_group_symop_operation_xyz
'x,y,z'
'y,-x,-z'
'-x,-y,z'
'-y,x,-z'
'-x,y,z'
'-y,-x,-z'
'x,-y,z'
'y,x,-z'
loop_
_atom_site_label
_atom_site_fract_x
_atom_site_fract_y
_atom_site_fract_z
Ce1 0.000 0.500 0.121
Ce2 0.000 0.500 0.634
As1 0.000 0.000 0.244
As2 0.000 0.500 0.411
As3 0.000 0.500 0.923
As4 0.500 0.500 0.244
Pd1 0.000 0.000 0.000
Pd2 0.000 0.000 0.500
Pd3 0.500 0.500 0.500
```

Entry 5:
The following is a PBE-GGA calculation of a relaxed NaTl2Cd2 crystal, from Alexandria via LeMat-Bulk.

Results
VASP energy (eV per atom): -1.5783
Relative energy among the computed polymorphs (eV per atom): 0.039
Formation energy from the elements (eV/atom): 0.00

Cell and atoms, written as CIF:
```
data_NaTl2Cd2
_chemical_formula_sum 'Na2 Tl4 Cd4'
_space_group_name_H-M_alt 'P 4/m b m'
_space_group_IT_number 127
_space_group_name_Hall '-P 4 2ab'
_cell_length_a 8.846
_cell_length_b 8.846
_cell_length_c 3.654
_cell_angle_alpha 90.00
_cell_angle_beta 90.00
_cell_angle_gamma 90.00
loop_
_atom_site_label
_atom_site_fract_x
_atom_site_fract_y
_atom_site_fract_z
Na1 0.000 0.000 0.000
Tl1 0.148 0.352 0.000
Cd1 0.150 0.650 0.500
```

Entry 6:
The following is a PBE-GGA calculation of a relaxed Tb2Al3Zn4 crystal, from Alexandria via LeMat-Bulk.

Results
VASP energy (eV per atom): -3.1728
Formation energy from the elements (eV/atom): -0.33

Cell and atoms, written as CIF:
```
data_Tb2Al3Zn4
_chemical_formula_sum 'Tb8 Al12 Zn16'
_space_group_name_H-M_alt 'C m c e'
_space_group_IT_number 64
_space_group_name_Hall '-C 2ac 2'
_cell_length_a 5.767
_cell_length_b 15.367
_cell_length_c 7.664
_cell_angle_alpha 90.00
_cell_angle_beta 90.00
_cell_angle_gamma 90.00
loop_
_atom_site_label
_atom_site_fract_x
_atom_site_fract_y
_atom_site_fract_z
Tb1 0.000 0.105 0.099
Al1 0.000 0.000 0.500
Al2 0.250 0.233 0.750
Zn1 0.000 0.174 0.483
Zn2 0.250 0.065 0.750
```

Entry 7:
The following is a PBE-GGA calculation of a relaxed Ca2Mg2Tl7Pb crystal, from Alexandria via LeMat-Bulk.

Results
VASP energy (eV per atom): -2.3321
Formation energy from the elements (eV/atom): -0.04

Cell and atoms, written as CIF:
```
data_Ca2Mg2Tl7Pb
_chemical_formula_sum 'Ca4 Mg4 Tl14 Pb2'
_space_group_name_H-M_alt 'C 1 2/m 1'
_space_group_IT_number 12
_cell_length_a 6.703
_cell_length_b 6.718
_cell_length_c 16.503
_cell_angle_alpha 90.00
_cell_angle_beta 101.16
_cell_angle_gamma 90.00
loop_
_space_group_symop_operation_xyz
'x,y,z'
'-x,-y,-z'
'-x,y,-z'
'x,-y,z'
'x+1/2,y+1/2,z'
'-x+1/2,-y+1/2,-z'
'-x+1/2,y+1/2,-z'
'x+1/2,-y+1/2,z'
loop_
_atom_site_label
_atom_site_fract_x
_atom_site_fract_y
_atom_site_fract_z
Ca1 0.162 0.000 0.339
Mg1 0.134 0.500 0.280
Tl1 0.000 0.500 0.000
Tl2 0.171 0.250 0.837
Tl3 0.228 0.500 0.460
Pb1 0.000 0.000 0.000
```

Entry 8:
The following is a PBE-GGA calculation of a relaxed Mg6AlCd2 crystal, from Alexandria via LeMat-Bulk.

Results
VASP energy (eV per atom): -1.7396
Relative energy among the computed polymorphs (eV per atom): 0.000
Formation energy from the elements (eV/atom): -0.06

Cell and atoms, written as CIF:
```
data_Mg6AlCd2
_chemical_formula_sum 'Mg6 Al1 Cd2'
_space_group_name_H-M_alt 'P -6 2 m'
_space_group_IT_number 189
_space_group_name_Hall 'P -6 -2'
_cell_length_a 8.4097
_cell_length_b 8.4097
_cell_length_c 3.1635
_cell_angle_alpha 90.00
_cell_angle_beta 90.00
_cell_angle_gamma 120.00
loop_
_atom_site_label
_atom_site_fract_x
_atom_site_fract_y
_atom_site_fract_z
Mg1 0.0000 0.2932 0.0000
Mg2 0.0000 0.6367 0.5000
Al1 0.0000 0.0000 0.5000
Cd1 0.3333 0.6667 0.0000
```

Entry 9:
The following is a PBE-GGA calculation of a relaxed PaCdSnN crystal, from Alexandria via LeMat-Bulk.

Results
Formation energy without anion corrections (eV per formula unit): -3.12
VASP energy (eV per atom): -6.4639

Cell and atoms, written as CIF:
```
data_PaCdSnN
_chemical_formula_sum 'Pa2 Cd2 Sn2 N2'
_space_group_name_H-M_alt 'P 4/n m m'
_space_group_IT_number 129
_cell_length_a 4.125
_cell_length_b 4.125
_cell_length_c 9.752
_cell_angle_alpha 90.00
_cell_angle_beta 90.00
_cell_angle_gamma 90.00
loop_
_space_group_symop_operation_xyz
'x,y,z'
'-x,-y,-z'
'-y+1/2,x,z'
'y+1/2,-x,-z'
'-x+1/2,-y+1/2,z'
'x+1/2,y+1/2,-z'
'y,-x+1/2,z'
'-y,x+1/2,-z'
'x+1/2,-y,-z'
'-x+1/2,y,z'
'-y,-x,-z'
'y,x,z'
'-x,y+1/2,-z'
'x,-y+1/2,z'
'y+1/2,x+1/2,-z'
'-y+1/2,-x+1/2,z'
loop_
_atom_site_label
_atom_site_fract_x
_atom_site_fract_y
_atom_site_fract_z
Pa1 0.250 0.250 0.113
Cd1 0.250 0.750 0.500
Sn1 0.250 0.250 0.719
N1 0.250 0.750 0.000
```

Entry 10:
The following is a PBE-GGA calculation of a relaxed NaCd2InCu crystal, from Alexandria via LeMat-Bulk.

Results
VASP energy (eV per atom): -1.9410
Formation energy from the elements (eV/atom): 0.06

Cell and atoms, written as CIF:
```
data_NaCd2InCu
_chemical_formula_sum 'Na1 Cd2 In1 Cu1'
_space_group_name_H-M_alt 'P 4/m m m'
_space_group_IT_number 123
_space_group_name_Hall '-P 4 2'
_cell_length_a 5.086
_cell_length_b 5.086
_cell_length_c 5.015
_cell_angle_alpha 90.00
_cell_angle_beta 90.00
_cell_angle_gamma 90.00
loop_
_atom_site_label
_atom_site_fract_x
_atom_site_fract_y
_atom_site_fract_z
Na1 0.000 0.000 0.000
Cd1 0.000 0.500 0.500
In1 0.500 0.500 0.000
Cu1 0.500 0.500 0.500
```

Entry 11:
The following is a PBE-GGA calculation of a relaxed LiCrCl2 crystal, from Alexandria via LeMat-Bulk.

Results
Formation energy without anion corrections (eV per formula unit): -3.90
VASP energy (eV per atom): -4.7830
Relative energy among the computed polymorphs (eV per atom): 0.055

Cell and atoms, written as CIF:
```
data_LiCrCl2
_chemical_formula_sum 'Li2 Cr2 Cl4'
_space_group_name_H-M_alt 'P 1 m 1'
_space_group_IT_number 6
_cell_length_a 6.756
_cell_length_b 3.559
_cell_length_c 7.254
_cell_angle_alpha 90.00
_cell_angle_beta 105.41
_cell_angle_gamma 90.00
loop_
_space_group_symop_operation_xyz
'x,y,z'
'x,-y,z'
loop_
_atom_site_label
_atom_site_fract_x
_atom_site_fract_y
_atom_site_fract_z
Li1 0.000 0.000 0.000
Li2 0.012 0.000 0.506
Cr1 0.590 0.500 0.032
Cr2 0.590 0.500 0.768
Cl1 0.375 0.000 0.097
Cl2 0.378 0.000 0.591
Cl3 0.934 0.500 0.732
Cl4 0.935 0.500 0.237
```

What did the third record say?
The following is a PBE-GGA calculation of a relaxed NaSn3Au crystal, from Alexandria via LeMat-Bulk.

Results
VASP energy (eV per atom): -3.5077
Relative energy among the computed polymorphs (eV per atom): 0.000
Formation energy from the elements (eV/atom): -0.19

Cell and atoms, written as CIF:
```
data_NaSn3Au
_chemical_formula_sum 'Na2 Sn6 Au2'
_space_group_name_H-M_alt 'P m n 21'
_space_group_IT_number 31
_cell_length_a 6.661
_cell_length_b 6.296
_cell_length_c 6.435
_cell_angle_alpha 90.00
_cell_angle_beta 90.00
_cell_angle_gamma 90.00
loop_
_space_group_symop_operation_xyz
'x,y,z'
'-x+1/2,-y,z+1/2'
'-x,y,z'
'x+1/2,-y,z+1/2'
loop_
_atom_site_label
_atom_site_fract_x
_atom_site_fract_y
_atom_site_fract_z
Na1 0.000 0.233 0.000
Sn1 0.000 0.881 0.628
Sn2 0.250 0.273 0.504
Au1 0.000 0.578 0.321
```

Among the records above, which one has the highest VASP energy?
NaTl2Cd2